[1]
# KCoO2 GGA-PBEsol optimized geometry
data_KCoO2
_chemical_formula_sum 'K2 Co2 O4'
_cell_length_a 5.2271
_cell_length_b 5.2271
_cell_length_c 5.2271
_cell_angle_alpha 102.20
_cell_angle_beta 113.22
_cell_angle_gamma 113.22
_symmetry_space_group_name_H-M 'P 1'
_symmetry_Int_Tables_number 1
_symmetry_space_group_name_Hall 'P 1'
loop_
_atom_site_label
_atom_site_type_symbol
_atom_site_fract_x
_atom_site_fract_y
_atom_site_fract_z
Co1 Co 0.5000 0.2500 0.7500
O1 O 0.8670 0.4920 0.1250
K1 K 0.5000 0.7500 0.2500
K2 K 0.0000 0.0000 0.0000
O2 O 0.1330 0.2580 0.6250
O3 O 0.3670 0.8750 0.7420
O4 O 0.6330 0.3750 0.5080
Co2 Co 0.0000 0.5000 0.5000
# formation energy (no corrections): -4.65 eV/f.u.
# VASP energy: -48.04 eV per cell
# symmetry: I-42d


[2]
# KCoO2 GGA-PBEsol optimized geometry
data_KCoO2
_chemical_formula_sum 'K2 Co2 O4'
_cell_length_a 3.1738
_cell_length_b 5.9335
_cell_length_c 6.9705
_cell_angle_alpha 64.86
_cell_angle_beta 76.84
_cell_angle_gamma 89.96
_symmetry_space_group_name_H-M 'P 1'
_symmetry_Int_Tables_number 1
_symmetry_space_group_name_Hall 'P 1'
loop_
_atom_site_label
_atom_site_type_symbol
_atom_site_fract_x
_atom_site_fract_y
_atom_site_fract_z
K1 K 0.3659 0.3661 0.2682
Co1 Co 0.1000 0.0999 0.7998
K2 K 0.6341 0.6339 0.7318
O1 O 0.0001 0.2383 0.0000
O2 O 0.6794 0.1793 0.6409
O3 O 0.9999 0.7617 0.0000
O4 O 0.3206 0.8207 0.3591
Co2 Co 0.9000 0.9001 0.2002
# formation energy (no corrections): -4.40 eV/f.u.
# VASP energy: -47.53 eV per cell
# symmetry: Immm


[3]
# KCoO2 GGA-PBEsol optimized geometry
data_KCoO2
_chemical_formula_sum 'K2 Co2 O4'
_cell_length_a 3.1710
_cell_length_b 6.3425
_cell_length_c 6.8763
_cell_angle_alpha 65.54
_cell_angle_beta 76.67
_cell_angle_gamma 75.52
_symmetry_space_group_name_H-M 'P 1'
_symmetry_Int_Tables_number 1
_symmetry_space_group_name_Hall 'P 1'
loop_
_atom_site_label
_atom_site_type_symbol
_atom_site_fract_x
_atom_site_fract_y
_atom_site_fract_z
O1 O 0.1211 0.7801 0.9776
K1 K 0.8095 0.6603 0.7207
O2 O 0.4126 0.8207 0.3540
Co1 Co 0.0474 0.1021 0.8032
K2 K 0.1905 0.3397 0.2793
O3 O 0.8789 0.2199 0.0224
O4 O 0.5874 0.1793 0.6460
Co2 Co 0.9526 0.8979 0.1968
# formation energy (no corrections): -4.27 eV/f.u.
# VASP energy: -47.28 eV per cell
# symmetry: C2/m


[4]
# KCoO2 GGA-PBEsol optimized geometry
data_KCoO2
_chemical_formula_sum 'K4 Co4 O8'
_cell_length_a 5.3170
_cell_length_b 5.3170
_cell_length_c 8.1005
_cell_angle_alpha 89.96
_cell_angle_beta 89.96
_cell_angle_gamma 81.27
_symmetry_space_group_name_H-M 'P 1'
_symmetry_Int_Tables_number 1
_symmetry_space_group_name_Hall 'P 1'
loop_
_atom_site_label
_atom_site_type_symbol
_atom_site_fract_x
_atom_site_fract_y
_atom_site_fract_z
O1 O 0.0912 0.2993 0.9268
K1 K 0.9924 0.0076 0.5000
O2 O 0.5555 0.8104 0.4388
O3 O 0.6900 0.4288 0.6853
Co1 Co 0.0009 0.5019 0.7462
K2 K 0.5140 0.4860 0.0000
O4 O 0.1896 0.4445 0.5612
O5 O 0.1725 0.9779 0.1924
Co2 Co 0.9961 0.0039 0.0000
O6 O 0.5712 0.3100 0.3147
Co3 Co 0.4981 0.9991 0.2538
Co4 Co 0.5039 0.4961 0.5000
K3 K 0.4928 0.9910 0.7552
O7 O 0.7007 0.9088 0.0732
K4 K 0.0090 0.5072 0.2448
O8 O 0.0221 0.8275 0.8076
# formation energy (no corrections): -4.73 eV/f.u.
# VASP energy: -96.41 eV per cell
# symmetry: C2


[5]
# K2CoO3 GGA-PBEsol optimized geometry
data_K2CoO3
_chemical_formula_sum 'K8 Co4 O12'
_cell_length_a 5.5953
_cell_length_b 6.2439
_cell_length_c 12.5037
_cell_angle_alpha 90.00
_cell_angle_beta 90.00
_cell_angle_gamma 116.62
_symmetry_space_group_name_H-M 'P 1'
_symmetry_Int_Tables_number 1
_symmetry_space_group_name_Hall 'P 1'
loop_
_atom_site_label
_atom_site_type_symbol
_atom_site_fract_x
_atom_site_fract_y
_atom_site_fract_z
K1 K 0.5601 0.1202 0.1405
K2 K 0.4399 0.8798 0.8595
O1 O 0.9770 0.4541 0.7500
Co1 Co 0.2435 0.4871 0.1678
O2 O 0.4077 0.8153 0.6377
K3 K 0.6366 0.2732 0.5745
O3 O 0.0230 0.5459 0.2500
O4 O 0.4770 0.4541 0.7500
O5 O 0.6645 0.3290 0.9419
Co2 Co 0.7565 0.5129 0.8322
O6 O 0.5923 0.1847 0.3623
Co3 Co 0.7435 0.4871 0.3322
O7 O 0.8355 0.6710 0.4419
K4 K 0.9399 0.8798 0.6405
O8 O 0.9077 0.8153 0.8623
O9 O 0.0923 0.1847 0.1377
O10 O 0.5230 0.5459 0.2500
Co4 Co 0.2565 0.5129 0.6678
O11 O 0.3355 0.6710 0.0581
K5 K 0.1366 0.2732 0.9255
K6 K 0.0601 0.1202 0.3595
K7 K 0.3634 0.7268 0.4255
K8 K 0.8634 0.7268 0.0745
O12 O 0.1645 0.3290 0.5581
# formation energy (no corrections): -7.40 eV/f.u.
# VASP energy: -132.59 eV per cell
# symmetry: Cmce


[6]
# KCo2P2O8 GGA-PBEsol optimized geometry
data_KCo2P2O8
_chemical_formula_sum 'K4 Co8 P8 O32'
_cell_length_a 8.7277
_cell_length_b 9.4459
_cell_length_c 9.4459
_cell_angle_alpha 90.78
_cell_angle_beta 97.02
_cell_angle_gamma 82.98
_symmetry_space_group_name_H-M 'P 1'
_symmetry_Int_Tables_number 1
_symmetry_space_group_name_Hall 'P 1'
loop_
_atom_site_label
_atom_site_type_symbol
_atom_site_fract_x
_atom_site_fract_y
_atom_site_fract_z
O1 O 0.4985 0.3199 0.4479
Co1 Co 0.0433 0.3013 0.4548
O2 O 0.1816 0.9762 0.2480
P1 P 0.0200 0.0638 0.2178
Co2 Co 0.8802 0.8068 0.0620
O3 O 0.3184 0.2480 0.9762
O4 O 0.5156 0.9015 0.8249
Co3 Co 0.6198 0.0620 0.8068
K1 K 0.2132 0.5668 0.9365
O5 O 0.9937 0.6355 0.1382
O6 O 0.4937 0.8618 0.3645
O7 O 0.3923 0.8199 0.0357
P2 P 0.5200 0.7822 0.9362
O8 O 0.7505 0.7569 0.4757
O9 O 0.0063 0.3645 0.8618
O10 O 0.7495 0.4757 0.7569
O11 O 0.9985 0.5521 0.6801
Co4 Co 0.4567 0.4548 0.3013
O12 O 0.0892 0.6849 0.4014
P3 P 0.9149 0.4254 0.7208
P4 P 0.5851 0.7208 0.4254
K2 K 0.7132 0.0635 0.4332
P5 P 0.0851 0.5746 0.2792
Co5 Co 0.1198 0.1932 0.9380
O13 O 0.2505 0.5243 0.2431
O14 O 0.5892 0.5986 0.3151
P6 P 0.9800 0.9362 0.7822
O15 O 0.6077 0.1801 0.9643
O16 O 0.9758 0.1402 0.3556
K3 K 0.7868 0.4332 0.0635
K4 K 0.2868 0.9365 0.5668
O17 O 0.0015 0.4479 0.3199
O18 O 0.6816 0.7520 0.0238
P7 P 0.4149 0.2792 0.5746
O19 O 0.1077 0.0357 0.8199
P8 P 0.4800 0.2178 0.0638
O20 O 0.4844 0.0985 0.1751
O21 O 0.5063 0.1382 0.6355
O22 O 0.2495 0.2431 0.5243
O23 O 0.9844 0.8249 0.9015
O24 O 0.9108 0.3151 0.5986
O25 O 0.4758 0.6444 0.8598
Co6 Co 0.9567 0.6987 0.5452
O26 O 0.4108 0.4014 0.6849
O27 O 0.0156 0.1751 0.0985
O28 O 0.5015 0.6801 0.5521
O29 O 0.8923 0.9643 0.1801
O30 O 0.8184 0.0238 0.7520
O31 O 0.0242 0.8598 0.6444
Co7 Co 0.5433 0.5452 0.6987
Co8 Co 0.3802 0.9380 0.1932
O32 O 0.5242 0.3556 0.1402
# formation energy (no corrections): -22.72 eV/f.u.
# VASP energy: -371.61 eV per cell
# symmetry: C2/c


[7]
# K4Ti3CoP6O24 GGA-PBEsol optimized geometry
data_K4Ti3CoP6O24
_chemical_formula_sum 'K8 Ti6 Co2 P12 O48'
_cell_length_a 9.8699
_cell_length_b 9.8812
_cell_length_c 9.8911
_cell_angle_alpha 90.16
_cell_angle_beta 90.00
_cell_angle_gamma 90.00
_symmetry_space_group_name_H-M 'P 1'
_symmetry_Int_Tables_number 1
_symmetry_space_group_name_Hall 'P 1'
loop_
_atom_site_label
_atom_site_type_symbol
_atom_site_fract_x
_atom_site_fract_y
_atom_site_fract_z
K1 K 0.1881 0.6908 0.9394
O1 O 0.8055 0.0539 0.0368
O2 O 0.7785 0.6924 0.7006
O3 O 0.7455 0.8258 0.1409
O4 O 0.8292 0.1087 0.4985
P1 P 0.6196 0.2904 0.7230
O5 O 0.3055 0.9461 0.9632
O6 O 0.0238 0.3307 0.1927
K2 K 0.4491 0.5565 0.2841
O7 O 0.7704 0.5504 0.2377
O8 O 0.1794 0.4038 0.0044
O9 O 0.2704 0.4496 0.7623
P2 P 0.3743 0.2046 0.2259
Ti1 Ti 0.1109 0.3899 0.3583
O10 O 0.1023 0.7472 0.4279
Ti2 Ti 0.1614 0.8412 0.5886
K3 K 0.9491 0.4435 0.7159
O11 O 0.5523 0.7732 0.5532
P3 P 0.7054 0.9782 0.1254
O12 O 0.8977 0.7485 0.9212
P4 P 0.1196 0.7096 0.2770
Co1 Co 0.3937 0.8937 0.1424
O13 O 0.6605 0.4424 0.7301
P5 P 0.4781 0.8745 0.4569
O14 O 0.7224 0.2058 0.7978
O15 O 0.0523 0.2268 0.4468
O16 O 0.6794 0.5962 0.9956
K4 K 0.3183 0.1781 0.5688
Ti3 Ti 0.6614 0.1588 0.4114
O17 O 0.2230 0.9606 0.7289
O18 O 0.0118 0.7792 0.6999
K5 K 0.8183 0.8219 0.4312
O19 O 0.4791 0.2670 0.7896
O20 O 0.2008 0.4558 0.5231
Ti4 Ti 0.3365 0.3334 0.9126
O21 O 0.2224 0.7942 0.2022
K6 K 0.0442 0.0390 0.1922
O22 O 0.7008 0.5442 0.4769
Co2 Co 0.8937 0.1063 0.8576
P6 P 0.8743 0.7954 0.7741
Ti5 Ti 0.6109 0.6101 0.6417
O23 O 0.5118 0.2208 0.3001
O24 O 0.7230 0.0394 0.2711
O25 O 0.0600 0.0090 0.9238
O26 O 0.6023 0.2528 0.5721
O27 O 0.9546 0.2850 0.9511
P7 P 0.5289 0.6185 0.9564
O28 O 0.9395 0.4776 0.4208
O29 O 0.1605 0.5576 0.2699
O30 O 0.4546 0.7150 0.0489
O31 O 0.2455 0.1742 0.8591
O32 O 0.8155 0.9366 0.7637
O33 O 0.0487 0.9877 0.5151
K7 K 0.5442 0.9610 0.8078
O34 O 0.4604 0.4779 0.9671
O35 O 0.2785 0.3076 0.2994
O36 O 0.5487 0.0123 0.4849
P8 P 0.2914 0.5274 0.6292
P9 P 0.0289 0.3815 0.0436
O37 O 0.2474 0.6746 0.6536
P10 P 0.7914 0.4726 0.3708
O38 O 0.3292 0.8913 0.5015
O39 O 0.5238 0.6693 0.8073
P11 P 0.9781 0.1255 0.5431
O40 O 0.9916 0.1754 0.6873
K8 K 0.6881 0.3092 0.0606
O41 O 0.4395 0.5224 0.5792
Ti6 Ti 0.8365 0.6666 0.0874
O42 O 0.7474 0.3254 0.3464
O43 O 0.9791 0.7330 0.2104
O44 O 0.3977 0.2515 0.0788
P12 P 0.2054 0.0218 0.8746
O45 O 0.4916 0.8246 0.3127
O46 O 0.9604 0.5221 0.0329
O47 O 0.3155 0.0634 0.2363
O48 O 0.5600 0.9910 0.0762
# formation energy (no corrections): -92.17 eV/f.u.
# VASP energy: -580.28 eV per cell
# symmetry: P2_1


| no. | M_tot (μB per formula unit) |
| --- | --- |
| 1 | 0.000 |
| 2 | 3.836 |
| 3 | 3.910 |
| 4 | 1.239 |
| 5 | 1.366 |
| 6 | 7.000 |
| 7 | 2.836 |